VTcF2, optimized geometry, DFT PBE with a Hubbard U; energy = -45.25 eV per cell; D(E_F) = 1.13 states/eV/atom; polymorph energy (0 for the lowest one) = 693 meV per atom
1.0
-0.836 -4.922 1.034
4.279 -1.247 -2.475
4.639 -2.575 4.067
V Tc F
2 2 4
direct
0.500 0.500 0.000
0.250 0.750 0.500
0.000 0.000 0.000
0.750 0.250 0.500
0.526 0.125 0.250
0.224 0.625 0.250
0.375 0.474 0.750
0.875 0.776 0.750